1.
Entry from the Alexandria database: an optimized crystal structure of CuNiHgS2 (PBE-GGA).

Lattice parameters (Å, degrees): 5.664 17.657 4.592 90.00 90.00 90.00
Space group Cmme (No. 67)
Asymmetric unit:
Cu  0.000  0.000  0.000 x4
Ni  0.250  0.000  0.500 x4
Hg  0.000  0.250  0.002 x4
S  0.000  0.086  0.656 x8

Output
- Mass density: 5.60 Mg/m³
- Formation energy without anion corrections: -0.5 eV/f.u.

***

2.
Entry from the Alexandria database: an optimized crystal structure of LiMn2Os2 (PBE-GGA).

Lattice parameters (Å, degrees): 7.332 7.332 2.614 90.00 90.00 90.00
Space group P4/mbm (No. 127)
Asymmetric unit:
Li  0.000  0.000  0.000 x2
Mn  0.163  0.337  0.500 x4
Os  0.131  0.631  0.000 x4

Output
- Mass density: 11.75 Mg/m³
- Energy above the lowest structure with this stoichiometry: 4 meV per atom

***

3.
Entry from the Alexandria database: an optimized crystal structure of BC3 (PBE-GGA).

Lattice parameters (Å, degrees): 4.549 7.824 4.550 90.00 113.38 90.00
Space group Cm (No. 8)
Asymmetric unit:
B  0.000  0.000  0.000 x2
B  0.030  0.500  0.533 x2
B  0.103  0.000  0.431 x2
C  0.107  0.500  0.924 x2
C  0.129  0.174  0.903 x4
C  0.130  0.328  0.401 x4
C  0.494  0.325  0.537 x4
C  0.498  0.169  0.035 x4

Output
- Mass density: 3.14 Mg/m³
- Energy above the lowest structure with this stoichiometry: 55 meV per atom

***

4.
Entry from the Alexandria database: an optimized crystal structure of Ti2V4Re (PBE-GGA).

Lattice parameters (Å, degrees): 2.673 6.722 6.757 116.43 101.14 97.71
Space group P-1 (No. 2)
Asymmetric unit:
Ti  0.001  0.275  0.427 x2
V  0.404  0.846  0.280 x2
V  0.427  0.420  0.134 x2
Re  0.000  0.000  0.000 x1

Output
- Mass density: 7.81 Mg/m³
- Energy above the lowest structure with this stoichiometry: 0 meV per atom

***

5.
Entry from the Alexandria database: an optimized crystal structure of AcPr5Se6 (PBE-GGA).

Lattice parameters (Å, degrees): 7.442 12.935 7.444 90.00 109.69 90.00
Space group C2/m (No. 12)
Asymmetric unit:
Ac  0.000  0.000  0.000 x2
Pr  0.000  0.165  0.500 x4
Pr  0.000  0.332  0.000 x4
Pr  0.000  0.500  0.500 x2
Se  0.244  0.500  0.251 x4
Se  0.245  0.331  0.745 x8

Output
- Mass density: 6.92 Mg/m³
- Formation energy without anion corrections: -22.2 eV/f.u.

***

6.
Entry from the Alexandria database: an optimized crystal structure of Li4Sm2H (PBE-GGA).

Lattice parameters (Å, degrees): 3.703 3.703 21.339 90.00 90.00 90.00
Space group I4/mmm (No. 139)
Asymmetric unit:
Li  0.000  0.000  0.094 x4
Li  0.000  0.500  0.000 x4
Sm  0.000  0.000  0.307 x4
H  0.000  0.000  0.000 x2

Output
- Mass density: 3.74 Mg/m³

***

Number 1: raw total energy -3.793 eV per atom, total magnetic moment 0.000 μB/atom. Number 2: raw total energy -8.342 eV per atom, total magnetic moment 0.391 μB/atom. Number 3: raw total energy -8.292 eV per atom, total magnetic moment 0.000 μB/atom. Number 4: raw total energy -9.231 eV per atom, total magnetic moment 0.000 μB/atom. Number 5: raw total energy -5.922 eV per atom, total magnetic moment 0.000 μB/atom. Number 6: raw total energy -2.917 eV per atom, total magnetic moment 0.000 μB/atom.